## Sr2ReHO (PBE)

Data for a geometry-optimized Sr2ReHO structure.

Lattice parameters (Å, degrees): 5.4856 5.4856 3.4163 90.00 90.00 90.00
Space group P4/mmm (No. 123)
One atom of each set of equivalent atoms:
Sr: 0.0000 0.5000 0.0000 [2 per cell]
Re: 0.0000 0.0000 0.0000 [1 per cell]
H: 0.0000 0.0000 0.5000 [1 per cell]
O: 0.5000 0.5000 0.5000 [1 per cell]


## UReH2O8 (PBE)

Data for a geometry-optimized UReH2O8 structure.

Lattice parameters (Å, degrees): 4.8005 5.1262 6.5637 88.24 84.71 88.00
Space group P-1 (No. 2)
One atom of each set of equivalent atoms:
U: 0.0000 0.0000 0.0000 [1 per cell]
Re: 0.0000 0.0000 0.5000 [1 per cell]
H: 0.4409 0.2623 0.3856 [2 per cell]
O: 0.1929 0.8320 0.2820 [2 per cell]
O: 0.2168 0.8380 0.7019 [2 per cell]
O: 0.2496 0.2579 0.9908 [2 per cell]
O: 0.2566 0.2832 0.4692 [2 per cell]


## ZrReHO2 (PBE)

Data for a geometry-optimized ZrReHO2 structure.

Lattice parameters (Å, degrees): 4.0451 4.0451 3.2867 90.00 90.00 90.00
Space group P4/mmm (No. 123)
One atom of each set of equivalent atoms:
Zr: 0.0000 0.0000 0.0000 [1 per cell]
Re: 0.5000 0.5000 0.5000 [1 per cell]
H: 0.5000 0.5000 0.0000 [1 per cell]
O: 0.0000 0.5000 0.5000 [2 per cell]


Spin magnetization / μB per atom: 0.002, 0.088, 0.000
D(E_F) / states/eV/f.u.: 5.0, 4.5, 3.1
Calculated total energy / eV/atom: -4.471, -7.452, -7.557